A geometry-optimized Ni2OsRh2 structure. Source: Alexandria via LeMat-Bulk, functional GGA-PBE.

a b c (Å): 4.562 8.388 5.252
angles (deg): 72.25 73.18 43.14
Element x y z (fractional)
Ni1 0.707 0.196 0.850
Ni2 0.894 0.399 0.457
Ni3 0.106 0.601 0.543
Ni4 0.293 0.804 0.150
Os1 0.506 0.998 0.251
Os2 0.494 0.002 0.749
Rh1 0.910 0.396 0.948
Rh2 0.697 0.200 0.352
Rh3 0.303 0.800 0.648
Rh4 0.090 0.604 0.052

## Properties
- SG: No. 2
- ΔE_f: 0.053 eV per atom